1.
PBE TbTmSn2, optimized geometry; DOS(E_F) = 0.635 states/eV per atom; DFT formation energy = -0.687 eV/atom
1.0
4.279 0.000 0.000
0.000 6.117 0.000
0.000 0.000 8.327
Tb Tm Sn
2 2 4
Cartesian
0.000 0.771 0.000 Tb
0.000 5.346 4.163 Tb
2.140 2.300 5.285 Tm
2.140 3.817 1.122 Tm
0.000 2.494 3.011 Sn
0.000 3.623 7.174 Sn
2.140 0.542 2.271 Sn
2.140 5.575 6.434 Sn



2.
PBE TbTmSn2, optimized geometry; DOS(E_F) = 0.481 states/eV per atom; DFT formation energy = -0.510 eV/atom
1.0
1.911 1.103 8.955
-1.911 1.103 8.955
0.000 -2.207 8.955
Tb Tm Sn
1 1 2
Cartesian
0.000 0.000 0.000 Tb
0.000 0.000 13.432 Tm
0.000 0.000 6.685 Sn
0.000 0.000 20.179 Sn



3.
PBE TbTmSn, optimized geometry; DOS(E_F) = 0.797 states/eV per atom; DFT formation energy = -0.347 eV/atom
1.0
5.084 0.000 0.000
-2.542 4.403 0.000
0.000 0.000 3.824
Tb Tm Sn
1 1 1
Cartesian
0.000 0.000 0.000 Tb
2.542 1.468 2.110 Tm
0.000 2.936 1.225 Sn



4.
PBE TbTmSn6, optimized geometry; DOS(E_F) = 0.416 states/eV per atom; DFT formation energy = -0.403 eV/atom
1.0
4.783 0.000 0.000
0.000 4.783 0.000
0.000 0.000 9.123
Tb Tm Sn
1 1 6
Cartesian
0.000 0.000 0.000 Tb
0.000 0.000 4.562 Tm
0.000 2.391 2.305 Sn
0.000 2.391 6.819 Sn
2.391 0.000 2.305 Sn
2.391 0.000 6.819 Sn
2.391 2.391 0.000 Sn
2.391 2.391 4.562 Sn



5.
PBE TbTmSn2, optimized geometry; DOS(E_F) = 1.051 states/eV per atom; DFT formation energy = -0.598 eV/atom
1.0
4.878 0.000 0.000
0.000 4.878 0.000
0.000 0.000 4.395
Tb Tm Sn
1 1 2
Cartesian
0.000 0.000 0.000 Tb
2.439 2.439 0.000 Tm
0.000 2.439 2.198 Sn
2.439 0.000 2.198 Sn



6.
PBE Tb3TmSn, optimized geometry; DOS(E_F) = 1.296 states/eV per atom; DFT formation energy = -0.246 eV/atom
1.0
6.521 0.000 0.000
3.055 5.806 0.000
1.199 2.710 7.821
Tb Tm Sn
6 2 2
Cartesian
0.000 0.000 0.000 Tb
1.521 2.941 1.436 Tb
3.858 4.416 6.112 Tb
5.462 7.327 4.894 Tb
6.286 5.741 1.340 Tb
7.094 4.393 4.852 Tb
3.060 5.815 3.174 Tm
4.778 2.867 2.888 Tm
6.193 5.711 7.706 Sn
8.649 7.306 5.868 Sn



7.
PBE TbTm3Sn, optimized geometry; DOS(E_F) = 1.072 states/eV per atom; DFT formation energy = -0.161 eV/atom
1.0
3.324 -7.911 0.000
3.324 7.911 0.000
0.000 0.000 5.837
Tb Tm Sn
2 6 2
Cartesian
3.324 7.028 4.378 Tb
3.324 -7.028 1.459 Tb
1.656 2.565 4.378 Tm
1.656 -2.565 1.459 Tm
3.324 0.000 0.000 Tm
3.324 0.000 2.919 Tm
4.992 2.565 4.378 Tm
4.992 -2.565 1.459 Tm
3.324 2.725 1.459 Sn
3.324 -2.725 4.378 Sn



8.
PBE TbTmZnSn, optimized geometry; DOS(E_F) = 0.541 states/eV per atom; DFT formation energy = -0.484 eV/atom
1.0
0.000 3.650 3.650
3.650 0.000 3.650
3.650 3.650 0.000
Tb Tm Zn Sn
1 1 1 1
Cartesian
0.000 0.000 0.000 Tb
3.650 3.650 3.650 Tm
1.825 1.825 1.825 Zn
5.474 5.474 5.474 Sn



9.
PBE TbU2Sn9, optimized geometry; DOS(E_F) = 1.478 states/eV per atom; DFT formation energy = -0.230 eV/atom
1.0
4.648 0.000 0.000
0.000 4.648 0.000
0.000 0.000 14.034
Tb U Sn
1 2 9
Cartesian
0.000 0.000 0.000 Tb
0.000 0.000 4.728 U
0.000 0.000 9.306 U
0.000 2.324 2.385 Sn
0.000 2.324 7.017 Sn
0.000 2.324 11.649 Sn
2.324 0.000 2.385 Sn
2.324 0.000 7.017 Sn
2.324 0.000 11.649 Sn
2.324 2.324 0.000 Sn
2.324 2.324 4.695 Sn
2.324 2.324 9.340 Sn



10.
PBE TbUSn6, optimized geometry; DOS(E_F) = 1.192 states/eV per atom; DFT formation energy = -0.280 eV/atom
1.0
4.667 0.000 0.000
0.000 4.667 0.000
0.000 0.000 9.366
Tb U Sn
1 1 6
Cartesian
0.000 0.000 0.000 Tb
0.000 0.000 4.683 U
0.000 2.334 2.373 Sn
0.000 2.334 6.993 Sn
2.334 0.000 2.373 Sn
2.334 0.000 6.993 Sn
2.334 2.334 0.000 Sn
2.334 2.334 4.683 Sn



11.
PBE TbUSn2, optimized geometry; DOS(E_F) = 1.885 states/eV per atom; DFT formation energy = -0.283 eV/atom
1.0
3.373 0.000 0.000
0.000 3.373 0.000
0.000 0.000 9.097
Tb U Sn
1 1 2
Cartesian
0.000 0.000 0.000 Tb
0.000 0.000 4.549 U
1.687 1.687 2.265 Sn
1.687 1.687 6.832 Sn



12.
PBE Tb6VSn10, optimized geometry; DOS(E_F) = 0.541 states/eV per atom; DFT formation energy = -0.473 eV/atom
1.0
9.133 0.000 0.000
-4.567 7.910 0.000
0.000 0.000 6.165
Tb V Sn
6 1 10
Cartesian
-1.785 3.093 1.566 Tb
-2.781 4.817 4.598 Tb
3.571 0.000 1.566 Tb
1.785 3.093 4.598 Tb
5.562 0.000 4.598 Tb
2.781 4.817 1.566 Tb
0.000 0.000 3.082 V
-1.043 1.807 4.824 Sn
-3.523 6.103 1.340 Sn
2.086 0.000 4.824 Sn
1.043 1.807 1.340 Sn
0.000 5.273 0.000 Sn
0.000 5.273 3.082 Sn
4.567 2.637 0.000 Sn
4.567 2.637 3.082 Sn
7.047 0.000 1.340 Sn
3.523 6.103 4.824 Sn